! NbVNi, relaxed, DFT PBE; values from VASP
! Offset from the most stable computed form = 116.5 meV/atom
! Size of the total moment = 0.0 μB per formula unit
! N(E_F) = 3.1 states/eV/f.u.
! ΔE_f = -0.068 eV per atom
! Symmetry = Fmm2
&SYSTEM
  ibrav = 0, nat = 12, ntyp = 3
/
ATOMIC_SPECIES
Nb 92.91 Nb.upf
V 50.94 V.upf
Ni 58.69 Ni.upf
ATOMIC_POSITIONS crystal
Nb 0.000 0.000 0.000
Nb 0.000 0.500 0.500
Nb 0.500 0.000 0.500
Nb 0.500 0.500 0.000
V 0.000 0.000 0.316
V 0.000 0.500 0.816
V 0.500 0.000 0.816
V 0.500 0.500 0.316
Ni 0.000 0.000 0.670
Ni 0.000 0.500 0.170
Ni 0.500 0.000 0.170
Ni 0.500 0.500 0.670
CELL_PARAMETERS angstrom
3.489 0.000 0.000
0.000 4.067 0.000
0.000 0.000 12.014

! NbVNi, relaxed, DFT PBE; values from VASP
! Offset from the most stable computed form = 122.0 meV/atom
! Size of the total moment = 0.0 μB per formula unit
! N(E_F) = 3.9 states/eV/f.u.
! ΔE_f = -0.062 eV per atom
! Symmetry = I4mm
&SYSTEM
  ibrav = 0, nat = 6, ntyp = 3
/
ATOMIC_SPECIES
Nb 92.91 Nb.upf
V 50.94 V.upf
Ni 58.69 Ni.upf
ATOMIC_POSITIONS crystal
Nb 0.000 0.000 0.000
Nb 0.500 0.500 0.500
V 0.000 0.000 0.313
V 0.500 0.500 0.813
Ni 0.000 0.000 0.670
Ni 0.500 0.500 0.170
CELL_PARAMETERS angstrom
2.680 0.000 0.000
0.000 2.680 0.000
0.000 0.000 11.887

! Nb2V3Ni8, relaxed, DFT PBE; values from VASP
! Size of the total moment = 1.6 μB per formula unit
! N(E_F) = 14.8 states/eV/f.u.
! ΔE_f = -0.024 eV per atom
! Symmetry = C2/m
&SYSTEM
  ibrav = 0, nat = 13, ntyp = 3
/
ATOMIC_SPECIES
Nb 92.91 Nb.upf
V 50.94 V.upf
Ni 58.69 Ni.upf
ATOMIC_POSITIONS crystal
Nb 0.231 0.231 0.181
Nb 0.769 0.769 0.819
V 0.300 0.700 0.000
V 0.500 0.500 0.500
V 0.700 0.300 0.000
Ni 0.024 0.024 0.767
Ni 0.097 0.640 0.466
Ni 0.313 0.313 0.740
Ni 0.360 0.903 0.534
Ni 0.640 0.097 0.466
Ni 0.687 0.687 0.260
Ni 0.903 0.360 0.534
Ni 0.976 0.976 0.233
CELL_PARAMETERS angstrom
5.033 -3.621 0.000
5.033 3.621 0.000
-0.966 0.000 4.672

! NbV2Ni2, relaxed, DFT PBE; values from VASP
! Offset from the most stable computed form = 214.7 meV/atom
! Size of the total moment = 0.0 μB per formula unit
! N(E_F) = 4.6 states/eV/f.u.
! ΔE_f = 0.157 eV per atom
! Symmetry = I4/mmm
&SYSTEM
  ibrav = 0, nat = 10, ntyp = 3
/
ATOMIC_SPECIES
Nb 92.91 Nb.upf
V 50.94 V.upf
Ni 58.69 Ni.upf
ATOMIC_POSITIONS crystal
Nb 0.000 0.000 0.000
Nb 0.500 0.500 0.500
V 0.000 0.000 0.394
V 0.000 0.000 0.606
V 0.500 0.500 0.106
V 0.500 0.500 0.894
Ni 0.000 0.500 0.250
Ni 0.000 0.500 0.750
Ni 0.500 0.000 0.250
Ni 0.500 0.000 0.750
CELL_PARAMETERS angstrom
3.448 0.000 0.000
0.000 3.448 0.000
0.000 0.000 11.834

! NbVNi, relaxed, DFT PBE; values from VASP
! Offset from the most stable computed form = 100.1 meV/atom
! Size of the total moment = 0.0 μB per formula unit
! N(E_F) = 3.9 states/eV/f.u.
! ΔE_f = -0.084 eV per atom
! Symmetry = Ima2
&SYSTEM
  ibrav = 0, nat = 12, ntyp = 3
/
ATOMIC_SPECIES
Nb 92.91 Nb.upf
V 50.94 V.upf
Ni 58.69 Ni.upf
ATOMIC_POSITIONS crystal
Nb 0.250 0.151 0.000
Nb 0.250 0.349 0.500
Nb 0.750 0.651 0.500
Nb 0.750 0.849 0.000
V 0.250 0.662 0.810
V 0.250 0.838 0.310
V 0.750 0.162 0.310
V 0.750 0.338 0.810
Ni 0.000 0.000 0.646
Ni 0.000 0.500 0.146
Ni 0.500 0.000 0.646
Ni 0.500 0.500 0.146
CELL_PARAMETERS angstrom
4.753 0.000 0.000
0.000 6.064 0.000
0.000 0.000 6.014

! Nb2VZn2Ni5, relaxed, DFT PBE; values from VASP
! Size of the total moment = 0.0 μB per formula unit
! N(E_F) = 8.3 states/eV/f.u.
! ΔE_f = -0.038 eV per atom
! Symmetry = P4/mbm
&SYSTEM
  ibrav = 0, nat = 20, ntyp = 4
/
ATOMIC_SPECIES
Nb 92.91 Nb.upf
V 50.94 V.upf
Zn 65.41 Zn.upf
Ni 58.69 Ni.upf
ATOMIC_POSITIONS crystal
Nb 0.172 0.328 0.000
Nb 0.328 0.828 0.000
Nb 0.672 0.172 0.000
Nb 0.828 0.672 0.000
V 0.000 0.000 0.000
V 0.500 0.500 0.000
Zn 0.135 0.635 0.000
Zn 0.365 0.135 0.000
Zn 0.635 0.865 0.000
Zn 0.865 0.365 0.000
Ni 0.000 0.500 0.500
Ni 0.039 0.811 0.500
Ni 0.189 0.039 0.500
Ni 0.311 0.539 0.500
Ni 0.461 0.311 0.500
Ni 0.500 0.000 0.500
Ni 0.539 0.689 0.500
Ni 0.689 0.461 0.500
Ni 0.811 0.961 0.500
Ni 0.961 0.189 0.500
CELL_PARAMETERS angstrom
9.686 0.000 0.000
0.000 9.686 0.000
0.000 0.000 2.862

! ZrNbVNi, relaxed, DFT PBE; values from VASP
! Size of the total moment = 0.3 μB per formula unit
! N(E_F) = 5.1 states/eV/f.u.
! ΔE_f = -0.007 eV per atom
! Symmetry = F-43m
&SYSTEM
  ibrav = 0, nat = 16, ntyp = 4
/
ATOMIC_SPECIES
Zr 91.22 Zr.upf
Nb 92.91 Nb.upf
V 50.94 V.upf
Ni 58.69 Ni.upf
ATOMIC_POSITIONS crystal
Zr 0.000 0.000 0.000
Zr 0.000 0.500 0.500
Zr 0.500 0.000 0.500
Zr 0.500 0.500 0.000
Nb 0.000 0.000 0.500
Nb 0.000 0.500 0.000
Nb 0.500 0.000 0.000
Nb 0.500 0.500 0.500
V 0.250 0.250 0.750
V 0.250 0.750 0.250
V 0.750 0.250 0.250
V 0.750 0.750 0.750
Ni 0.250 0.250 0.250
Ni 0.250 0.750 0.750
Ni 0.750 0.250 0.750
Ni 0.750 0.750 0.250
CELL_PARAMETERS angstrom
6.369 0.000 0.000
0.000 6.369 0.000
0.000 0.000 6.369

! NbNiW3, relaxed, DFT PBE; values from VASP
! Offset from the most stable computed form = 0.0 meV/atom
! Size of the total moment = 0.0 μB per formula unit
! N(E_F) = 7.9 states/eV/f.u.
! ΔE_f = 1.391 eV per atom
! Symmetry = Pm-3m
&SYSTEM
  ibrav = 0, nat = 5, ntyp = 3
/
ATOMIC_SPECIES
Nb 92.91 Nb.upf
Ni 58.69 Ni.upf
W 183.84 W.upf
ATOMIC_POSITIONS crystal
Nb 0.000 0.000 0.000
Ni 0.500 0.500 0.500
W 0.000 0.500 0.500
W 0.500 0.000 0.500
W 0.500 0.500 0.000
CELL_PARAMETERS angstrom
4.482 0.000 0.000
0.000 4.482 0.000
0.000 0.000 4.482

! NbNiW2, relaxed, DFT PBE; values from VASP
! Offset from the most stable computed form = 420.9 meV/atom
! Size of the total moment = 0.0 μB per formula unit
! N(E_F) = 3.5 states/eV/f.u.
! ΔE_f = 0.712 eV per atom
! Symmetry = I-42d
&SYSTEM
  ibrav = 0, nat = 16, ntyp = 3
/
ATOMIC_SPECIES
Nb 92.91 Nb.upf
Ni 58.69 Ni.upf
W 183.84 W.upf
ATOMIC_POSITIONS crystal
Nb 0.000 0.000 0.000
Nb 0.000 0.500 0.250
Nb 0.500 0.000 0.750
Nb 0.500 0.500 0.500
Ni 0.000 0.000 0.500
Ni 0.000 0.500 0.750
Ni 0.500 0.000 0.250
Ni 0.500 0.500 0.000
W 0.219 0.250 0.625
W 0.250 0.719 0.875
W 0.250 0.781 0.375
W 0.281 0.250 0.125
W 0.719 0.750 0.125
W 0.750 0.219 0.375
W 0.750 0.281 0.875
W 0.781 0.750 0.625
CELL_PARAMETERS angstrom
7.162 0.000 0.000
0.000 7.162 0.000
0.000 0.000 5.166

! Nb2Ni2W, relaxed, DFT PBE; values from VASP
! Size of the total moment = 0.0 μB per formula unit
! N(E_F) = 7.0 states/eV/f.u.
! ΔE_f = 0.001 eV per atom
! Symmetry = P4/mbm
&SYSTEM
  ibrav = 0, nat = 10, ntyp = 3
/
ATOMIC_SPECIES
Nb 92.91 Nb.upf
Ni 58.69 Ni.upf
W 183.84 W.upf
ATOMIC_POSITIONS crystal
Nb 0.176 0.324 0.000
Nb 0.324 0.824 0.000
Nb 0.676 0.176 0.000
Nb 0.824 0.676 0.000
Ni 0.124 0.624 0.500
Ni 0.376 0.124 0.500
Ni 0.624 0.876 0.500
Ni 0.876 0.376 0.500
W 0.000 0.000 0.500
W 0.500 0.500 0.500
CELL_PARAMETERS angstrom
6.644 0.000 0.000
0.000 6.644 0.000
0.000 0.000 3.406

! NbNiW2, relaxed, DFT PBE; values from VASP
! Offset from the most stable computed form = 0.0 meV/atom
! Size of the total moment = 0.0 μB per formula unit
! N(E_F) = 6.9 states/eV/f.u.
! ΔE_f = 0.292 eV per atom
! Symmetry = Fm-3m
&SYSTEM
  ibrav = 0, nat = 16, ntyp = 3
/
ATOMIC_SPECIES
Nb 92.91 Nb.upf
Ni 58.69 Ni.upf
W 183.84 W.upf
ATOMIC_POSITIONS crystal
Nb 0.000 0.000 0.000
Nb 0.000 0.500 0.500
Nb 0.500 0.000 0.500
Nb 0.500 0.500 0.000
Ni 0.000 0.000 0.500
Ni 0.000 0.500 0.000
Ni 0.500 0.000 0.000
Ni 0.500 0.500 0.500
W 0.250 0.250 0.250
W 0.250 0.250 0.750
W 0.250 0.750 0.250
W 0.250 0.750 0.750
W 0.750 0.250 0.250
W 0.750 0.250 0.750
W 0.750 0.750 0.250
W 0.750 0.750 0.750
CELL_PARAMETERS angstrom
6.280 0.000 0.000
0.000 6.280 0.000
0.000 0.000 6.280

! NbNiW3, relaxed, DFT PBE; values from VASP
! Offset from the most stable computed form = 1111.6 meV/atom
! Size of the total moment = 0.0 μB per formula unit
! N(E_F) = 6.3 states/eV/f.u.
! ΔE_f = 2.503 eV per atom
! Symmetry = Pm-3m
&SYSTEM
  ibrav = 0, nat = 5, ntyp = 3
/
ATOMIC_SPECIES
Nb 92.91 Nb.upf
Ni 58.69 Ni.upf
W 183.84 W.upf
ATOMIC_POSITIONS crystal
Nb 0.000 0.000 0.000
Ni 0.500 0.500 0.500
W 0.000 0.000 0.500
W 0.000 0.500 0.000
W 0.500 0.000 0.000
CELL_PARAMETERS angstrom
4.727 0.000 0.000
0.000 4.727 0.000
0.000 0.000 4.727